Entry from the Alexandria database: crystalline GeBr2NCl at its relaxed geometry (PBE-GGA).

a = 4.8652 Å, b = 4.2539 Å, c = 4.8652 Å
α = 90.00°, β = 90.00°, γ = 90.00°
Element x y z (fractional)
1 Ge 0.5000 0.5000 0.5000
2 N 0.0000 0.0000 0.0000
3 Br 0.0000 0.0000 0.5000
4 Br 0.5000 0.0000 0.0000
5 Cl 0.0000 0.5000 0.0000

Values from the calculation:
Formation energy from raw total energies in kJ/mol of atoms: 83.8
D(E_F) in states/eV/f.u.: 1.76


Entry from the Alexandria database: crystalline NaGeBrCl2 at its relaxed geometry (PBE-GGA).

a = 6.4589 Å, b = 4.9171 Å, c = 6.4589 Å
α = 90.00°, β = 90.00°, γ = 90.00°
Element x y z (fractional)
1 Na 0.5000 0.5000 0.5000
2 Ge 0.0000 0.5000 0.0000
3 Br 0.0000 0.0000 0.0000
4 Cl 0.0000 0.0000 0.5000
5 Cl 0.5000 0.0000 0.0000

Values from the calculation:
Formation energy from raw total energies in kJ/mol of atoms: -11.4
D(E_F) in states/eV/f.u.: 4.58


Entry from the Alexandria database: crystalline NaGeBrCl2 at its relaxed geometry (PBE-GGA).

a = 5.3883 Å, b = 6.6993 Å, c = 8.8187 Å
α = 104.47°, β = 90.00°, γ = 90.00°
Element x y z (fractional)
1 Na 0.2500 0.6373 0.8957
2 Na 0.7500 0.3627 0.1043
3 Ge 0.2500 0.7045 0.4448
4 Ge 0.7500 0.2955 0.5552
5 Br 0.2500 0.9606 0.7207
6 Br 0.7500 0.0394 0.2793
7 Cl 0.7500 0.6057 0.4471
8 Cl 0.2500 0.3943 0.5529
9 Cl 0.7500 0.5475 0.8589
10 Cl 0.2500 0.4525 0.1411

Values from the calculation:
Formation energy from raw total energies in kJ/mol of atoms: -100.5
D(E_F) in states/eV/f.u.: 0.00


Entry from the Alexandria database: crystalline Nd8Ge3Br4Cl at its relaxed geometry (PBE-GGA).

a = 8.4836 Å, b = 8.8106 Å, c = 8.4843 Å
α = 118.78°, β = 120.00°, γ = 90.00°
Element x y z (fractional)
1 Nd 0.2351 0.7096 0.9745
2 Nd 0.2350 0.7095 0.4700
3 Nd 0.2621 0.2861 0.5241
4 Nd 0.7394 0.7096 0.9745
5 Nd 0.2606 0.2904 0.0255
6 Nd 0.7379 0.7139 0.4759
7 Nd 0.7650 0.2905 0.5300
8 Nd 0.7649 0.2904 0.0255
9 Ge 0.5000 0.5000 0.0000
10 Ge 0.5000 0.5000 0.5000
11 Ge 0.0000 0.5000 0.5000
12 Br 0.5000 0.0000 0.0000
13 Br 0.5000 0.0000 0.5000
14 Br 0.0000 0.0000 0.0000
15 Br 0.0000 0.0000 0.5000
16 Cl 0.0000 0.5000 0.0000

Values from the calculation:
Formation energy from raw total energies in kJ/mol of atoms: -113.7
D(E_F) in states/eV/f.u.: 7.82


Entry from the Alexandria database: crystalline Nd3GeBrCl at its relaxed geometry (PBE-GGA).

a = 4.1515 Å, b = 8.9828 Å, c = 11.3986 Å
α = 126.32°, β = 90.00°, γ = 90.00°
Element x y z (fractional)
1 Nd 0.2500 0.6815 0.5335
2 Nd 0.7500 0.9547 0.1020
3 Nd 0.7500 0.4689 0.1839
4 Nd 0.7500 0.3185 0.4665
5 Nd 0.2500 0.5311 0.8161
6 Nd 0.2500 0.0453 0.8980
7 Ge 0.7500 0.7209 0.7601
8 Ge 0.2500 0.2791 0.2399
9 Br 0.2500 0.7263 0.1419
10 Br 0.7500 0.2737 0.8581
11 Cl 0.2500 0.1818 0.5519
12 Cl 0.7500 0.8182 0.4481

Values from the calculation:
Formation energy from raw total energies in kJ/mol of atoms: -119.1
D(E_F) in states/eV/f.u.: 4.51


Entry from the Alexandria database: crystalline GePBrCl2 at its relaxed geometry (PBE-GGA).

a = 4.7720 Å, b = 4.7720 Å, c = 5.3706 Å
α = 90.00°, β = 90.00°, γ = 90.00°
Element x y z (fractional)
1 P 0.0000 0.0000 0.5000
2 Ge 0.0000 0.0000 0.0000
3 Br 0.5000 0.5000 0.5000
4 Cl 0.0000 0.5000 0.0000
5 Cl 0.5000 0.0000 0.0000

Values from the calculation:
Formation energy from raw total energies in kJ/mol of atoms: 16.5
D(E_F) in states/eV/f.u.: 1.45